one | {"formula": "Pr3Ho6Tm", "functional": "GGA-PBE", "state": "relaxed", "lattice_angstrom": [[6.347, 0.000, 0.000], [0.000, 10.808, -1.598], [0.000, -3.970, 10.179]], "species": ["Pr", "Pr", "Ho", "Ho", "Ho", "Ho", "Pr", "Ho", "Ho", "Pr", "Ho", "Ho", "Tm", "Ho", "Ho", "Ho", "Pr", "Tm", "Ho", "Pr"], "frac_coords": [[0.964, 0.712, 0.938], [0.464, 0.288, 0.062], [0.548, 0.621, 0.713], [0.876, 0.040, 0.960], [0.048, 0.379, 0.287], [0.370, 0.530, 0.951], [0.569, 0.612, 0.388], [0.376, 0.960, 0.040], [0.147, 0.728, 0.272], [0.964, 0.062, 0.288], [0.870, 0.470, 0.049], [0.048, 0.713, 0.621], [0.130, 0.196, 0.804], [0.647, 0.272, 0.728], [0.548, 0.287, 0.379], [0.370, 0.049, 0.470], [0.069, 0.388, 0.612], [0.630, 0.804, 0.196], [0.870, 0.951, 0.530], [0.464, 0.938, 0.712]], "space_group": "Cmc2_1", "magmom_total_mub_per_fu": 0.0}

---

two | {"formula": "Pr3Ho6Tm", "functional": "GGA-PBE", "state": "relaxed", "lattice_angstrom": [[6.090, 0.000, -2.472], [-1.289, 9.120, -3.177], [-0.880, -0.454, 6.570]], "species": ["Ho", "Ho", "Tm", "Pr", "Ho", "Pr", "Ho", "Ho", "Pr", "Ho"], "frac_coords": [[0.560, 0.686, 0.629], [0.931, 0.314, 0.371], [0.500, 0.500, 0.000], [0.000, 0.000, 0.000], [0.635, 0.921, 0.270], [0.928, 0.299, 0.856], [0.365, 0.079, 0.730], [0.069, 0.686, 0.629], [0.072, 0.701, 0.144], [0.440, 0.314, 0.371]], "space_group": "C2/m", "magmom_total_mub_per_fu": 0.0}

---

Result of the stability comparison: one is the most stable of them.

---

one | {"formula": "Pr8Ho2Tm", "functional": "GGA-PBE", "state": "relaxed", "lattice_angstrom": [[6.374, 1.782, 1.352], [2.156, 9.704, 3.049], [2.156, 5.549, 8.525]], "species": ["Pr", "Ho", "Pr", "Pr", "Pr", "Ho", "Pr", "Pr", "Tm", "Pr", "Pr"], "frac_coords": [[0.275, 0.403, 0.403], [0.577, 0.807, 0.807], [0.725, 0.597, 0.597], [0.166, 0.755, 0.755], [0.768, 0.176, 0.653], [0.423, 0.193, 0.193], [0.834, 0.245, 0.245], [0.232, 0.824, 0.347], [0.000, 0.000, 0.000], [0.232, 0.347, 0.824], [0.768, 0.653, 0.176]], "space_group": "C2/m", "magmom_total_mub_per_fu": 0.0}

---

two | {"formula": "Pr8Ho2Tm", "functional": "GGA-PBE", "state": "relaxed", "lattice_angstrom": [[0.452, -5.440, -1.774], [3.589, -2.053, 7.210], [-9.319, 2.107, 0.448]], "species": ["Pr", "Pr", "Pr", "Tm", "Pr", "Pr", "Pr", "Pr", "Ho", "Ho", "Pr"], "frac_coords": [[0.364, 0.568, 0.729], [0.636, 0.432, 0.271], [0.163, 0.163, 0.325], [0.500, 0.000, 0.000], [0.000, 0.292, 0.000], [0.636, 0.840, 0.271], [0.837, 0.837, 0.675], [0.000, 0.708, 0.000], [0.799, 0.299, 0.598], [0.201, 0.701, 0.402], [0.364, 0.160, 0.729]], "space_group": "Immm", "magmom_total_mub_per_fu": 0.0}

---

Result of the stability comparison: two is the most stable of them.

---

one | {"formula": "Pr12Ho6Tm", "functional": "GGA-PBE", "state": "relaxed", "lattice_angstrom": [[-3.015, 7.397, -3.509], [-3.127, -4.346, -6.889], [-7.703, -1.066, 3.957]], "species": ["Ho", "Pr", "Tm", "Pr", "Pr", "Pr", "Pr", "Pr", "Ho", "Ho", "Ho", "Ho", "Pr", "Pr", "Ho", "Pr", "Pr", "Pr", "Pr"], "frac_coords": [[0.742, 0.901, 0.294], [0.808, 0.637, 0.982], [0.000, 0.000, 0.000], [0.567, 0.217, 0.464], [0.637, 0.982, 0.808], [0.783, 0.536, 0.433], [0.192, 0.363, 0.018], [0.018, 0.192, 0.363], [0.706, 0.258, 0.099], [0.294, 0.742, 0.901], [0.099, 0.706, 0.258], [0.901, 0.294, 0.742], [0.433, 0.783, 0.536], [0.982, 0.808, 0.637], [0.258, 0.099, 0.706], [0.217, 0.464, 0.567], [0.363, 0.018, 0.192], [0.464, 0.567, 0.217], [0.536, 0.433, 0.783]], "space_group": "R-3", "magmom_total_mub_per_fu": 0.0}

---

two | {"formula": "Pr12Ho6Tm", "functional": "GGA-PBE", "state": "relaxed", "lattice_angstrom": [[8.891, 0.125, -2.734], [-3.735, 8.069, -2.734], [0.079, 0.125, 9.302]], "species": ["Tm", "Pr", "Ho", "Pr", "Pr", "Pr", "Pr", "Pr", "Pr", "Pr", "Ho", "Pr", "Pr", "Ho", "Ho", "Pr", "Ho", "Ho", "Pr"], "frac_coords": [[0.000, 0.000, 0.000], [0.174, 0.722, 0.871], [0.809, 0.548, 0.921], [0.826, 0.278, 0.129], [0.808, 0.416, 0.514], [0.416, 0.514, 0.808], [0.192, 0.584, 0.486], [0.486, 0.192, 0.584], [0.514, 0.808, 0.416], [0.129, 0.826, 0.278], [0.079, 0.191, 0.452], [0.722, 0.871, 0.174], [0.584, 0.486, 0.192], [0.548, 0.921, 0.809], [0.921, 0.809, 0.548], [0.871, 0.174, 0.722], [0.191, 0.452, 0.079], [0.452, 0.079, 0.191], [0.278, 0.129, 0.826]], "space_group": "R-3", "magmom_total_mub_per_fu": 0.0}

---

Result of the stability comparison: one is the most stable of them.

---

one | {"formula": "Pr7Ho3Tm", "functional": "GGA-PBE", "state": "relaxed", "lattice_angstrom": [[-3.735, -9.306, -2.679], [1.538, 5.729, 8.522], [-8.794, 8.972, 2.191]], "species": ["Pr", "Pr", "Pr", "Pr", "Ho", "Pr", "Tm", "Pr", "Pr", "Pr", "Pr", "Ho", "Pr", "Ho", "Ho", "Pr", "Pr", "Tm", "Ho", "Pr", "Ho", "Pr"], "frac_coords": [[0.915, 0.580, 0.527], [0.162, 0.847, 0.272], [0.085, 0.420, 0.473], [0.581, 0.910, 0.478], [0.000, 0.000, 0.000], [0.699, 0.699, 0.250], [0.500, 0.500, 0.000], [0.301, 0.301, 0.750], [0.419, 0.090, 0.522], [0.153, 0.838, 0.772], [0.838, 0.153, 0.728], [0.000, 0.000, 0.500], [0.847, 0.162, 0.228], [0.669, 0.324, 0.773], [0.331, 0.676, 0.227], [0.580, 0.914, 0.973], [0.090, 0.418, 0.978], [0.500, 0.500, 0.500], [0.324, 0.669, 0.727], [0.420, 0.086, 0.027], [0.676, 0.331, 0.273], [0.910, 0.582, 0.022]], "space_group": "C2/c", "magmom_total_mub_per_fu": 0.0}

---

two | {"formula": "Pr7Ho3Tm", "functional": "GGA-PBE", "state": "relaxed", "lattice_angstrom": [[5.939, -0.175, -0.224], [-2.703, 8.114, 1.077], [-2.703, -0.922, 8.133]], "species": ["Pr", "Pr", "Pr", "Pr", "Ho", "Pr", "Pr", "Pr", "Ho", "Ho", "Tm"], "frac_coords": [[0.309, 0.597, 0.021], [0.309, 0.021, 0.597], [0.691, 0.403, 0.979], [0.000, 0.500, 0.500], [0.500, 0.000, 0.000], [0.691, 0.979, 0.403], [0.211, 0.209, 0.209], [0.789, 0.791, 0.791], [0.000, 0.795, 0.205], [0.000, 0.205, 0.795], [0.500, 0.500, 0.500]], "space_group": "C2/m", "magmom_total_mub_per_fu": 0.0}

---

Result of the stability comparison: one is the most stable of them.

---

one | {"formula": "PrHo3Tm3", "functional": "GGA-PBE", "state": "relaxed", "lattice_angstrom": [[-6.296, 1.129, -5.990], [-8.196, -2.768, 1.395], [-6.582, 5.641, 1.283]], "species": ["Tm", "Ho", "Ho", "Tm", "Tm", "Pr", "Ho", "Tm", "Tm", "Ho", "Ho", "Tm", "Ho", "Pr"], "frac_coords": [[0.716, 0.172, 0.935], [0.430, 0.936, 0.271], [0.271, 0.430, 0.936], [0.172, 0.935, 0.716], [0.828, 0.065, 0.284], [0.651, 0.651, 0.651], [0.936, 0.271, 0.430], [0.935, 0.716, 0.172], [0.284, 0.828, 0.065], [0.729, 0.570, 0.064], [0.570, 0.064, 0.729], [0.065, 0.284, 0.828], [0.064, 0.729, 0.570], [0.349, 0.349, 0.349]], "space_group": "R-3", "magmom_total_mub_per_fu": 0.0}

---

two | {"formula": "PrHo3Tm3", "functional": "GGA-PBE", "state": "relaxed", "lattice_angstrom": [[-5.474, 4.222, 1.157], [-1.658, -4.907, -4.090], [2.133, -2.660, 5.651]], "species": ["Ho", "Tm", "Pr", "Ho", "Ho", "Tm", "Tm"], "frac_coords": [[0.970, 0.000, 0.413], [0.012, 0.550, 0.550], [0.544, 0.000, 0.000], [0.557, 0.587, 0.587], [0.970, 0.413, 0.000], [0.461, 0.000, 0.450], [0.461, 0.450, 0.000]], "space_group": "R3m", "magmom_total_mub_per_fu": 0.0}

---

Result of the stability comparison: one is the most stable of them.

---

one | {"formula": "Pr5Ho3Tm", "functional": "GGA-PBE", "state": "relaxed", "lattice_angstrom": [[3.177, 10.388, 1.528], [-3.177, 10.388, 1.528], [0.000, 5.582, 10.423]], "species": ["Pr", "Pr", "Pr", "Ho", "Tm", "Pr", "Pr", "Pr", "Pr", "Ho", "Ho", "Pr", "Pr", "Ho", "Ho", "Pr", "Tm", "Ho"], "frac_coords": [[0.471, 0.804, 0.887], [0.529, 0.196, 0.113], [0.352, 0.009, 0.469], [0.047, 0.603, 0.326], [0.101, 0.899, 0.250], [0.648, 0.991, 0.531], [0.009, 0.352, 0.969], [0.594, 0.406, 0.250], [0.196, 0.529, 0.613], [0.397, 0.953, 0.174], [0.000, 0.000, 0.000], [0.991, 0.648, 0.031], [0.406, 0.594, 0.750], [0.603, 0.047, 0.826], [0.953, 0.397, 0.674], [0.804, 0.471, 0.387], [0.899, 0.101, 0.750], [0.000, 0.000, 0.500]], "space_group": "C2/c", "magmom_total_mub_per_fu": 0.0}

---

two | {"formula": "Pr5Ho3Tm", "functional": "GGA-PBE", "state": "relaxed", "lattice_angstrom": [[-9.048, -1.255, 2.263], [0.386, -8.792, -3.335], [6.263, 2.673, 6.956]], "species": ["Ho", "Pr", "Ho", "Pr", "Tm", "Pr", "Pr", "Ho", "Ho", "Pr", "Pr", "Pr", "Pr", "Ho", "Ho", "Pr", "Pr", "Tm"], "frac_coords": [[0.109, 0.391, 0.000], [0.834, 0.932, 0.266], [0.391, 0.891, 0.000], [0.666, 0.166, 0.734], [0.750, 0.250, 0.500], [0.932, 0.432, 0.266], [0.432, 0.334, 0.266], [0.750, 0.750, 0.500], [0.609, 0.109, 0.000], [0.000, 0.000, 0.000], [0.568, 0.666, 0.734], [0.166, 0.068, 0.734], [0.334, 0.834, 0.266], [0.891, 0.609, 0.000], [0.250, 0.250, 0.500], [0.500, 0.500, 0.000], [0.068, 0.568, 0.734], [0.250, 0.750, 0.500]], "space_group": "I4/mcm", "magmom_total_mub_per_fu": 0.0}

---

Result of the stability comparison: one is the most stable of them.

---

one | {"formula": "Pr6Ho4Tm", "functional": "GGA-PBE", "state": "relaxed", "lattice_angstrom": [[7.575, -3.135, -5.682], [-5.282, 8.194, 2.113], [-2.021, 3.135, 9.251]], "species": ["Pr", "Pr", "Tm", "Pr", "Pr", "Pr", "Pr", "Ho", "Ho", "Ho", "Ho"], "frac_coords": [[0.500, 0.000, 0.500], [0.000, 0.458, 0.816], [0.000, 0.000, 0.000], [0.000, 0.816, 0.458], [0.642, 0.184, 0.184], [0.358, 0.542, 0.542], [0.500, 0.500, 0.000], [0.000, 0.010, 0.643], [0.632, 0.990, 0.990], [0.000, 0.643, 0.010], [0.368, 0.357, 0.357]], "space_group": "I-42m", "magmom_total_mub_per_fu": 0.0}

---

two | {"formula": "Pr6Ho4Tm", "functional": "GGA-PBE", "state": "relaxed", "lattice_angstrom": [[6.838, 0.000, 0.000], [0.000, 6.838, 0.000], [-3.419, -3.419, 8.211]], "species": ["Pr", "Pr", "Ho", "Pr", "Ho", "Ho", "Pr", "Pr", "Tm", "Ho", "Pr"], "frac_coords": [[0.486, 0.871, 0.357], [0.129, 0.129, 0.643], [0.713, 0.062, 0.775], [0.514, 0.514, 0.643], [0.287, 0.287, 0.225], [0.938, 0.938, 0.225], [0.500, 0.000, 0.000], [0.871, 0.486, 0.357], [0.500, 0.500, 0.000], [0.062, 0.713, 0.775], [0.000, 0.500, 0.000]], "space_group": "I-42m", "magmom_total_mub_per_fu": 0.0}

---

Result of the stability comparison: one is the most stable of them.

---

one | {"formula": "Pr8HoTm2", "functional": "GGA-PBE", "state": "relaxed", "lattice_angstrom": [[5.483, 0.000, -1.665], [-1.019, 7.547, -3.356], [-0.097, -0.358, 9.542]], "species": ["Pr", "Tm", "Pr", "Tm", "Pr", "Pr", "Ho", "Pr", "Pr", "Pr", "Pr"], "frac_coords": [[0.364, 0.567, 0.727], [0.201, 0.701, 0.402], [0.000, 0.293, 0.000], [0.799, 0.299, 0.598], [0.636, 0.433, 0.273], [0.636, 0.840, 0.273], [0.500, 0.000, 0.000], [0.000, 0.707, 0.000], [0.163, 0.163, 0.327], [0.364, 0.160, 0.727], [0.837, 0.837, 0.673]], "space_group": "Immm", "magmom_total_mub_per_fu": 0.0}

---

two | {"formula": "Pr8HoTm2", "functional": "GGA-PBE", "state": "relaxed", "lattice_angstrom": [[6.323, 1.812, 1.375], [2.087, 9.754, 3.101], [2.087, 5.613, 8.559]], "species": ["Tm", "Tm", "Pr", "Pr", "Pr", "Pr", "Pr", "Pr", "Pr", "Ho", "Pr"], "frac_coords": [[0.578, 0.806, 0.806], [0.422, 0.194, 0.194], [0.233, 0.826, 0.347], [0.767, 0.174, 0.653], [0.276, 0.403, 0.403], [0.233, 0.347, 0.826], [0.724, 0.597, 0.597], [0.767, 0.653, 0.174], [0.166, 0.755, 0.755], [0.000, 0.000, 0.000], [0.834, 0.245, 0.245]], "space_group": "C2/m", "magmom_total_mub_per_fu": 0.0}

---

Result of the stability comparison: one is the most stable of them.